(1)
A relaxed RbNbTlAsPd crystal. Source: the Alexandria database, functional PBE-GGA.

Cell and atoms, written as POSCAR:
```
RbNbTlAsPd
1.0
3.694 0.000 -0.013
0.000 4.370 0.000
-2.818 0.000 16.862
Tl As Rb Nb Pd
2 2 2 2 2
Direct
0.097 0.500 0.216 Tl
0.097 0.000 0.716 Tl
0.294 0.000 0.991 As
0.294 0.500 0.491 As
0.710 0.000 0.372 Rb
0.710 0.500 0.872 Rb
0.890 0.500 0.596 Nb
0.890 0.000 0.096 Nb
0.467 0.500 0.077 Pd
0.467 0.000 0.577 Pd
```

Results
Total moment in μB/f.u.: 0.2
Energy relative to the lowest polymorph listed for this composition in meV per atom: 105.9
Formation energy in eV per atom: -0.121
Theoretical density in Mg/m³: 6.886
Symmetry: Cm
Total energy in eV for the cell shown: -47.70

(2)
A relaxed RbNbTlAsPd crystal. Source: the Alexandria database, functional PBE-GGA.

Cell and atoms, written as POSCAR:
```
RbNbTlAsPd
1.0
-1.577 -8.617 -2.332
-0.673 -0.814 3.461
-7.281 5.552 -0.110
As Pd Rb Tl Nb
2 2 2 2 2
Direct
0.812 0.000 0.776 As
0.812 0.500 0.276 As
0.707 0.000 0.022 Pd
0.707 0.500 0.522 Pd
0.100 0.500 0.111 Rb
0.100 0.000 0.611 Rb
0.425 0.500 0.967 Tl
0.425 0.000 0.467 Tl
0.605 0.500 0.770 Nb
0.605 0.000 0.270 Nb
```

Results
Total moment in μB/f.u.: 0.0
Energy relative to the lowest polymorph listed for this composition in meV per atom: 115.6
Formation energy in eV per atom: -0.112
Theoretical density in Mg/m³: 6.926
Symmetry: Cm
Total energy in eV for the cell shown: -47.61

(3)
A relaxed RbNbTlAsPd crystal. Source: the Alexandria database, functional PBE-GGA.

Cell and atoms, written as POSCAR:
```
RbNbTlAsPd
1.0
-5.302 -7.203 3.072
2.324 -0.346 3.200
-2.601 7.248 2.672
As Rb Tl Nb Pd
2 2 2 2 2
Direct
0.143 0.500 0.691 As
0.143 0.000 0.191 As
0.854 0.500 0.242 Rb
0.854 0.000 0.742 Rb
0.537 0.500 0.793 Tl
0.537 0.000 0.293 Tl
0.247 0.500 0.053 Nb
0.247 0.000 0.553 Nb
0.337 0.000 0.904 Pd
0.337 0.500 0.404 Pd
```

Results
Total moment in μB/f.u.: 0.0
Energy relative to the lowest polymorph listed for this composition in meV per atom: 142.2
Formation energy in eV per atom: -0.085
Theoretical density in Mg/m³: 6.653
Symmetry: Cm
Total energy in eV for the cell shown: -47.34

(4)
A relaxed RbNbTlAsPd crystal. Source: the Alexandria database, functional PBE-GGA.

Cell and atoms, written as POSCAR:
```
RbNbTlAsPd
1.0
3.506 0.000 0.000
0.000 3.506 0.000
0.000 0.000 19.414
As Nb Pd Rb Tl
2 2 2 2 2
Direct
0.500 0.500 0.282 As
0.000 0.000 0.782 As
0.000 0.000 0.230 Nb
0.500 0.500 0.730 Nb
0.500 0.500 0.146 Pd
0.000 0.000 0.646 Pd
0.500 0.500 0.924 Rb
0.000 0.000 0.424 Rb
0.000 0.000 0.066 Tl
0.500 0.500 0.566 Tl
```

Results
Total moment in μB/f.u.: 0.0
Energy relative to the lowest polymorph listed for this composition in meV per atom: 0.0
Formation energy in eV per atom: -0.227
Theoretical density in Mg/m³: 7.852
Symmetry: I4mm
Total energy in eV for the cell shown: -48.76

(5)
A relaxed RbNbTlAsPd crystal. Source: the Alexandria database, functional PBE-GGA.

Cell and atoms, written as POSCAR:
```
RbNbTlAsPd
1.0
-1.060 1.512 2.909
-3.249 -0.891 -0.721
2.505 -17.055 9.777
Pd Rb As Tl Nb
2 2 2 2 2
Direct
0.000 0.000 0.242 Pd
0.500 0.500 0.742 Pd
0.500 0.500 0.110 Rb
0.000 0.000 0.610 Rb
0.000 0.000 0.970 As
0.500 0.500 0.470 As
0.000 0.000 0.809 Tl
0.500 0.500 0.309 Tl
0.000 0.000 0.413 Nb
0.500 0.500 0.913 Nb
```

Results
Total moment in μB/f.u.: 0.0
Energy relative to the lowest polymorph listed for this composition in meV per atom: 166.9
Formation energy in eV per atom: -0.060
Theoretical density in Mg/m³: 7.963
Symmetry: I4mm
Total energy in eV for the cell shown: -47.09

(6)
A relaxed RbNbTlAsPd crystal. Source: the Alexandria database, functional PBE-GGA.

Cell and atoms, written as POSCAR:
```
RbNbTlAsPd
1.0
-2.315 -2.306 1.668
1.678 -2.878 -1.650
7.108 0.440 6.461
Nb As Pd Rb Tl
1 1 1 1 1
Direct
0.878 0.000 0.436 Nb
0.363 0.500 0.406 As
0.762 0.500 0.203 Pd
0.552 0.500 0.779 Rb
0.197 0.000 0.072 Tl
```

Results
Total moment in μB/f.u.: 0.1
Energy relative to the lowest polymorph listed for this composition in meV per atom: 172.5
Formation energy in eV per atom: -0.055
Theoretical density in Mg/m³: 7.273
Symmetry: Pm
Total energy in eV for the cell shown: -23.52